# CuHg2Mo

CuHg2Mo after structural relaxation (GGA-PBE, Alexandria).

a = 4.205 Å, b = 4.205 Å, c = 4.009 Å
α = 90.00°, β = 90.00°, γ = 90.00°
Positions (direct):
Cu  0.000  0.000  0.000
Hg  0.000  0.500  0.500
Hg  0.500  0.000  0.500
Mo  0.500  0.500  0.000

The value obtained for the total energy is -0.2461 Ry per atom. The formation energy comes out at 2.14 eV per formula unit. For the polymorph energy (0 for the lowest one), the calculation gives 130 meV per atom. The magnetization comes out at 0.0 μB per formula unit.